[1]
## WCl2 (GGA-PBEsol)

Data for WCl2 after structural relaxation.

Computed properties:
The value obtained for the excess energy over the best structure of this formula in the dataset is 0.0 meV per atom. For the uncorrected formation energy, the calculation gives -0.74 eV/atom. The density is 5.5 g/cm3. The calculated volume comes out at 927 Å³ per cell. Its total energy is -240.46 eV/cell.

Unit cell a=9.1991 b=9.1991 c=11.2991 alpha=90.00 beta=90.00 gamma=104.20
Fractional positions:
Cl: 0.7089 0.2911 0.0000
Cl: 0.9142 0.6743 0.9236
Cl: 0.3257 0.0858 0.0764
Cl: 0.0858 0.3257 0.0764
Cl: 0.2911 0.7089 0.0000
Cl: 0.8037 0.0434 0.2058
Cl: 0.8257 0.5858 0.4236
Cl: 0.5858 0.8257 0.4236
Cl: 0.1743 0.4142 0.5764
Cl: 0.1462 0.1462 0.3538
Cl: 0.6963 0.4566 0.7058
Cl: 0.7911 0.2089 0.5000
Cl: 0.0434 0.8037 0.2058
Cl: 0.4566 0.6963 0.7058
Cl: 0.4142 0.1743 0.5764
Cl: 0.6462 0.6462 0.1462
Cl: 0.6743 0.9142 0.9236
Cl: 0.3037 0.5434 0.2942
Cl: 0.2089 0.7911 0.5000
Cl: 0.5434 0.3037 0.2942
Cl: 0.8538 0.8538 0.6462
Cl: 0.3538 0.3538 0.8538
Cl: 0.9566 0.1963 0.7942
Cl: 0.1963 0.9566 0.7942
W: 0.3726 0.6274 0.5000
W: 0.6482 0.6482 0.5680
W: 0.6274 0.3726 0.5000
W: 0.8726 0.1274 0.0000
W: 0.5680 0.5680 0.3518
W: 0.1274 0.8726 0.0000
W: 0.4320 0.4320 0.6482
W: 0.0680 0.0680 0.1482
W: 0.1482 0.1482 0.9320
W: 0.9320 0.9320 0.8518
W: 0.8518 0.8518 0.0680
W: 0.3518 0.3518 0.4320



[2]
## YPb (GGA-PBEsol)

Data for YPb after structural relaxation.

Computed properties:
The density is 9.0 g/cm3. Its formation energy is -0.537 eV/atom. The calculated volume comes out at 218 Å³ per cell. Its total energy is -47.58 eV/cell.

Unit cell a=5.4521 b=6.3161 c=6.3287 alpha=90.00 beta=90.00 gamma=90.00
Fractional positions:
Y: 0.2500 0.6352 0.8626
Y: 0.2500 0.8648 0.3626
Y: 0.7500 0.1352 0.6374
Y: 0.7500 0.3648 0.1374
Pb: 0.7500 0.6457 0.6152
Pb: 0.7500 0.8543 0.1152
Pb: 0.2500 0.1457 0.8848
Pb: 0.2500 0.3543 0.3848



[3]
## Li2CrTc (GGA-PBEsol)

Data for Li2CrTc after structural relaxation.

Computed properties:
The value obtained for the excess energy over the best structure of this formula in the dataset is 160.3 meV per atom. The density is 5.1 g/cm3. Its formation energy is 0.489 eV/atom. The calculated volume comes out at 53 Å³ per cell. Its total energy is -23.49 eV/cell.

Unit cell a=2.5416 b=2.5416 c=9.5925 alpha=82.39 beta=82.39 gamma=60.00
Each line ends with the local moment (μB).
Fractional positions:
Tc: 0.5000 0.5000 0.5000  -0.01
Li: 0.2497 0.2497 0.2509  0.00
Li: 0.7503 0.7503 0.7491  0.00
Cr: 0.0000 0.0000 0.0000  0.58



[4]
## Zr3Cu (GGA-PBEsol)

Data for Zr3Cu after structural relaxation.

Computed properties:
The density is 7.1 g/cm3. Its formation energy is 0.001 eV/atom. The calculated volume comes out at 78 Å³ per cell. Its total energy is -31.60 eV/cell.

Unit cell a=3.1987 b=4.8767 c=5.8138 alpha=114.80 beta=105.97 gamma=90.00
Fractional positions:
Zr: 0.5000 0.5000 0.0000
Zr: 0.2792 0.7792 0.5584
Zr: 0.7208 0.2208 0.4416
Cu: 0.0000 0.0000 0.0000



[5]
## Ho2AlGe3 (GGA-PBEsol)

Data for Ho2AlGe3 after structural relaxation.

Computed properties:
The density is 8.0 g/cm3. Its formation energy is -0.693 eV/atom. The calculated volume comes out at 480 Å³ per cell. Its total energy is -131.86 eV/cell.

Unit cell a=4.1169 b=6.7006 c=17.3832 alpha=90.00 beta=90.00 gamma=90.00
Fractional positions:
Ho: 0.2500 0.6684 0.0851
Ho: 0.2500 0.1599 0.2046
Ho: 0.7500 0.8401 0.7954
Ho: 0.7500 0.3316 0.9149
Ho: 0.2500 0.6599 0.2954
Ho: 0.2500 0.1684 0.4149
Ho: 0.7500 0.3401 0.7046
Ho: 0.7500 0.8316 0.5851
Ge: 0.7500 0.7466 0.9647
Ge: 0.7500 0.8466 0.1894
Ge: 0.2500 0.5449 0.8302
Ge: 0.7500 0.2466 0.5353
Ge: 0.2500 0.0449 0.6698
Ge: 0.2500 0.2534 0.0353
Ge: 0.2500 0.6534 0.6894
Ge: 0.7500 0.9551 0.3302
Ge: 0.2500 0.1534 0.8106
Ge: 0.7500 0.3466 0.3106
Ge: 0.7500 0.4551 0.1698
Ge: 0.2500 0.7534 0.4647
Al: 0.7500 0.5463 0.4349
Al: 0.7500 0.0463 0.0651
Al: 0.2500 0.4537 0.5651
Al: 0.2500 0.9537 0.9349



[6]
## Nb3FeSe6 (GGA-PBEsol)

Data for Nb3FeSe6 after structural relaxation.

Computed properties:
For the uncorrected formation energy, the calculation gives -0.82 eV/atom. The density is 7.3 g/cm3. The calculated volume comes out at 367 Å³ per cell. Its total energy is -145.48 eV/cell.

Unit cell a=5.9374 b=5.9374 c=12.0326 alpha=90.00 beta=90.00 gamma=120.00
Each line ends with the local moment (μB).
Fractional positions:
Fe: 0.6667 0.3333 0.7500  0.66
Fe: 0.3333 0.6667 0.2500  0.66
Se: 0.3322 0.3328 0.6394  0.01
Se: 0.6672 0.9993 0.6394  0.01
Se: 0.6678 0.0007 0.3606  0.01
Se: 0.0007 0.3328 0.8606  0.01
Se: 0.3328 0.3322 0.3606  0.01
Se: 0.6678 0.6672 0.1394  0.01
Se: 0.6672 0.6678 0.8606  0.01
Se: 0.3322 0.9993 0.8606  0.01
Se: 0.9993 0.6672 0.3606  0.01
Se: 0.3328 0.0007 0.1394  0.01
Se: 0.0007 0.6678 0.6394  0.01
Se: 0.9993 0.3322 0.1394  0.01
Nb: 0.6667 0.3333 0.0015  0.01
Nb: 0.3333 0.6667 0.5015  0.01
Nb: 0.3333 0.6667 0.9985  0.01
Nb: 0.0000 0.0000 0.5000  0.05
Nb: 0.6667 0.3333 0.4985  0.01
Nb: 0.0000 0.0000 0.0000  0.05



[7]
## TiTl2TeP (GGA-PBEsol)

Data for TiTl2TeP after structural relaxation.

Computed properties:
For the uncorrected formation energy, the calculation gives 0.66 eV/atom. The density is 6.9 g/cm3. The calculated volume comes out at 149 Å³ per cell. Its total energy is -19.62 eV/cell.

Unit cell a=5.0276 b=5.4442 c=5.4442 alpha=90.00 beta=90.00 gamma=90.00
Each line ends with the local moment (μB).
Fractional positions:
P: 0.5000 0.5000 0.5000  0.67
Tl: 0.0000 0.5000 0.0000  -0.01
Tl: 0.0000 0.0000 0.5000  -0.01
Ti: 0.0000 0.0000 0.0000  -0.02
Te: 0.5000 0.0000 0.0000  0.05



[8]
## Cs3InF6 (GGA-PBEsol)

Data for Cs3InF6 after structural relaxation.

Computed properties:
For the uncorrected formation energy, the calculation gives -2.72 eV/atom. The density is 4.6 g/cm3. The calculated volume comes out at 226 Å³ per cell. Its total energy is -44.62 eV/cell.

Unit cell a=6.8363 b=6.8363 c=6.8363 alpha=60.00 beta=60.00 gamma=60.00
Fractional positions:
F: 0.2156 0.7844 0.2156
F: 0.7844 0.7844 0.2156
F: 0.2156 0.2156 0.7844
F: 0.7844 0.2156 0.2156
F: 0.7844 0.2156 0.7844
F: 0.2156 0.7844 0.7844
Cs: 0.7500 0.7500 0.7500
Cs: 0.2500 0.2500 0.2500
Cs: 0.5000 0.5000 0.5000
In: 0.0000 0.0000 0.0000



[9]
## BeInTe (GGA-PBEsol)

Data for BeInTe after structural relaxation.

Computed properties:
For the uncorrected formation energy, the calculation gives 0.27 eV/atom. The density is 6.0 g/cm3. The calculated volume comes out at 70 Å³ per cell. Its total energy is -9.69 eV/cell.

Unit cell a=3.5723 b=3.5723 c=6.3315 alpha=99.37 beta=99.37 gamma=115.01
Fractional positions:
Te: 0.3706 0.3706 0.7412
In: 0.6415 0.6415 0.2830
Be: 0.9879 0.9879 0.9758



[10]
## TiCd3Ga (GGA-PBEsol)

Data for TiCd3Ga after structural relaxation.

Computed properties:
The density is 5.2 g/cm3. Its formation energy is 0.896 eV/atom. The calculated volume comes out at 146 Å³ per cell. Its total energy is -10.77 eV/cell.

Unit cell a=5.2696 b=5.2696 c=5.2696 alpha=90.00 beta=90.00 gamma=90.00
Each line ends with the local moment (μB).
Fractional positions:
Ga: 0.5000 0.5000 0.5000  0.05
Cd: 0.0000 0.5000 0.0000  0.09
Cd: 0.5000 0.0000 0.0000  0.09
Cd: 0.0000 0.0000 0.5000  0.09
Ti: 0.0000 0.0000 0.0000  1.69



[11]
## InRhSe2 (GGA-PBEsol)

Data for InRhSe2 after structural relaxation.

Computed properties:
For the uncorrected formation energy, the calculation gives -0.28 eV/atom. The density is 6.6 g/cm3. The calculated volume comes out at 95 Å³ per cell. Its total energy is -19.94 eV/cell.

Unit cell a=3.6620 b=3.6620 c=8.4583 alpha=77.50 beta=77.50 gamma=60.00
Fractional positions:
In: 0.0000 0.0000 0.0000
Se: 0.8841 0.8841 0.3476
Se: 0.1159 0.1159 0.6524
Rh: 0.5000 0.5000 0.5000



[12]
## K5SmMo4O16 (GGA-PBEsol)

Data for K5SmMo4O16 after structural relaxation.

Computed properties:
For the uncorrected formation energy, the calculation gives -2.26 eV/atom. The density is 3.8 g/cm3. The calculated volume comes out at 430 Å³ per cell. Its total energy is -200.60 eV/cell.

Unit cell a=6.0662 b=7.7098 c=9.5572 alpha=105.61 beta=90.00 gamma=90.00
Fractional positions:
O: 0.5000 0.5242 0.7470
O: 0.7538 0.2777 0.5088
O: 0.7538 0.7223 0.4912
O: 0.2666 0.2892 0.9860
O: 0.5000 0.4758 0.2530
O: 0.0000 0.0503 0.6532
O: 0.7334 0.7108 0.0140
O: 0.0000 0.2673 0.2599
O: 0.5000 0.0900 0.1552
O: 0.7334 0.2892 0.9860
O: 0.2666 0.7108 0.0140
O: 0.5000 0.9100 0.8448
O: 0.0000 0.9497 0.3468
O: 0.0000 0.7327 0.7401
O: 0.2462 0.7223 0.4912
O: 0.2462 0.2777 0.5088
K: 0.0000 0.4242 0.8132
K: 0.5000 0.8437 0.2884
K: 0.0000 0.5758 0.1868
K: 0.0000 0.0000 0.0000
K: 0.5000 0.1563 0.7116
Mo: 0.0000 0.1858 0.4113
Mo: 0.5000 0.2837 0.0936
Mo: 0.5000 0.7163 0.9064
Mo: 0.0000 0.8142 0.5887
Sm: 0.5000 0.5000 0.5000